# Li2PmCu9

Crystalline Li2PmCu9 at its relaxed geometry (PBE-GGA, Alexandria via LeMat-Bulk).

POSCAR file:
```
Li2PmCu9
1.0
-0.230 -4.315 2.525
4.203 -2.169 1.636
0.733 1.952 8.362
Cu Li Pm
9 2 1
direct
0.667 0.667 0.998 Cu
0.084 0.586 0.745 Cu
0.916 0.414 0.255 Cu
0.333 0.333 0.002 Cu
0.500 0.500 0.500 Cu
0.414 0.414 0.255 Cu
0.586 0.586 0.745 Cu
0.414 0.916 0.255 Cu
0.586 0.084 0.745 Cu
0.852 0.852 0.445 Li
0.148 0.148 0.555 Li
0.000 0.000 0.000 Pm
```

Values from the calculation:
Its symmetry is R-3m (166). The value obtained for the uncorrected energy is -3.90 eV per atom. The formation energy is -0.115 eV per atom.


# LiPmCu2

Crystalline LiPmCu2 at its relaxed geometry (PBE-GGA, Alexandria via LeMat-Bulk).

POSCAR file:
```
LiPmCu2
1.0
3.344 0.000 0.000
0.000 4.780 0.000
0.000 0.000 4.780
Cu Li Pm
2 1 1
direct
0.000 0.000 0.500 Cu
0.000 0.500 0.000 Cu
0.500 0.500 0.500 Li
0.500 0.000 0.000 Pm
```

Values from the calculation:
Its symmetry is P4/mmm (123). The value obtained for the energy above the lowest structure with this stoichiometry is 13.14 kJ per mole of atoms. The value obtained for the uncorrected energy is -3.70 eV per atom. The formation energy is 0.019 eV per atom.


# Li2Pm3Cu4

Crystalline Li2Pm3Cu4 at its relaxed geometry (PBE-GGA, Alexandria via LeMat-Bulk).

POSCAR file:
```
Li2Pm3Cu4
1.0
4.165 0.000 1.230
1.751 5.267 1.739
-0.206 0.268 8.364
Cu Pm Li
4 3 2
direct
0.073 0.263 0.592 Cu
0.272 0.396 0.060 Cu
0.728 0.604 0.940 Cu
0.927 0.737 0.408 Cu
0.641 0.410 0.308 Pm
0.000 0.000 0.000 Pm
0.359 0.590 0.692 Pm
0.666 0.001 0.668 Li
0.334 0.999 0.332 Li
```

Values from the calculation:
Its symmetry is C2/m (12). The value obtained for the energy above the lowest structure with this stoichiometry is 0.79 kJ per mole of atoms. The value obtained for the uncorrected energy is -3.93 eV per atom. The formation energy is -0.096 eV per atom.


# LiPm2Cu9

Crystalline LiPm2Cu9 at its relaxed geometry (PBE-GGA, Alexandria via LeMat-Bulk).

POSCAR file:
```
LiPm2Cu9
1.0
-4.152 -0.274 3.014
0.252 -2.465 4.501
0.961 6.184 6.265
Cu Li Pm
9 1 2
direct
0.333 0.333 0.002 Cu
0.420 0.921 0.239 Cu
0.079 0.580 0.761 Cu
0.420 0.420 0.239 Cu
0.500 0.500 0.500 Cu
0.580 0.580 0.761 Cu
0.580 0.079 0.761 Cu
0.921 0.420 0.239 Cu
0.667 0.667 0.998 Cu
0.000 0.000 0.000 Li
0.865 0.865 0.406 Pm
0.135 0.135 0.594 Pm
```

Values from the calculation:
Its symmetry is R-3m (166). The value obtained for the uncorrected energy is -4.09 eV per atom. The formation energy is -0.070 eV per atom.


# LiPmCu2

Crystalline LiPmCu2 at its relaxed geometry (PBE-GGA, Alexandria via LeMat-Bulk).

POSCAR file:
```
LiPmCu2
1.0
-0.841 0.194 4.216
-3.023 -6.440 -0.307
8.635 -4.145 1.912
Cu Pm Li
8 4 4
direct
0.750 0.701 0.466 Cu
0.250 0.599 0.359 Cu
0.750 0.201 0.034 Cu
0.750 0.901 0.859 Cu
0.250 0.099 0.141 Cu
0.250 0.799 0.966 Cu
0.250 0.299 0.534 Cu
0.750 0.401 0.641 Cu
0.750 0.309 0.323 Pm
0.250 0.191 0.823 Pm
0.750 0.809 0.177 Pm
0.250 0.691 0.677 Pm
0.750 0.539 0.909 Li
0.250 0.961 0.409 Li
0.750 0.039 0.591 Li
0.250 0.461 0.091 Li
```

Values from the calculation:
Its symmetry is Pnma (62). The value obtained for the energy above the lowest structure with this stoichiometry is 0.00 kJ per mole of atoms. The value obtained for the uncorrected energy is -3.83 eV per atom. The formation energy is -0.117 eV per atom.


# LiPmCu

Crystalline LiPmCu at its relaxed geometry (PBE-GGA, Alexandria via LeMat-Bulk).

POSCAR file:
```
LiPmCu
1.0
3.632 0.000 0.000
0.000 4.478 0.000
0.000 -2.239 3.878
Cu Li Pm
1 1 1
direct
0.167 0.000 0.000 Cu
0.167 0.333 0.667 Li
0.667 0.667 0.333 Pm
```

Values from the calculation:
Its symmetry is P-6m2 (187). The value obtained for the energy above the lowest structure with this stoichiometry is 7.62 kJ per mole of atoms. The value obtained for the uncorrected energy is -3.59 eV per atom. The formation energy is -0.005 eV per atom.


# LiPmCu

Crystalline LiPmCu at its relaxed geometry (PBE-GGA, Alexandria via LeMat-Bulk).

POSCAR file:
```
LiPmCu
1.0
4.685 0.000 0.000
2.343 4.057 0.000
2.343 1.352 3.825
Cu Pm Li
1 1 1
direct
0.250 0.250 0.250 Cu
0.000 0.000 0.000 Pm
0.500 0.500 0.500 Li
```

Values from the calculation:
Its symmetry is F-43m (216). The value obtained for the energy above the lowest structure with this stoichiometry is 17.22 kJ per mole of atoms. The value obtained for the uncorrected energy is -3.49 eV per atom. The formation energy is 0.094 eV per atom.


# LiPmCu

Crystalline LiPmCu at its relaxed geometry (PBE-GGA, Alexandria via LeMat-Bulk).

POSCAR file:
```
LiPmCu
1.0
-1.186 -2.305 2.498
2.598 1.092 2.241
-3.625 3.990 -0.634
Li Pm Cu
1 1 1
direct
0.642 0.642 0.284 Li
0.939 0.939 0.877 Pm
0.269 0.269 0.538 Cu
```

Values from the calculation:
Its symmetry is I4mm (107). The value obtained for the energy above the lowest structure with this stoichiometry is 8.01 kJ per mole of atoms. The value obtained for the uncorrected energy is -3.59 eV per atom. The formation energy is -0.001 eV per atom.